[1]
First-principles (PBE) data for a geometry-optimized LiTc3Cl structure, as listed in the Alexandria database.

Output
ΔE to the lowest computed polymorph   0.0000 eV/atom

a b c (Å): 4.361 4.361 4.361
angles (deg): 90.00 90.00 90.00
Atoms (fractional coordinates):
Li 0.500 0.500 0.500
Tc 0.000 0.500 0.000
Tc 0.000 0.000 0.500
Tc 0.500 0.000 0.000
Cl 0.000 0.000 0.000



[2]
First-principles (PBE) data for a geometry-optimized LiTcCl structure, as listed in the Alexandria database.

Output
ΔE to the lowest computed polymorph   0.0000 eV/atom

a b c (Å): 2.948 2.948 6.022
angles (deg): 90.00 90.00 120.00
Atoms (fractional coordinates):
Cl 0.000 0.000 0.998
Li 0.333 0.667 0.315
Tc 0.667 0.333 0.686



[3]
First-principles (PBE) data for a geometry-optimized LiTcCl2 structure, as listed in the Alexandria database.

Output
ΔE to the lowest computed polymorph   0.2736 eV/atom

a b c (Å): 3.465 6.985 3.595
angles (deg): 90.00 90.00 90.00
Atoms (fractional coordinates):
Cl 0.000 0.000 0.000
Cl 0.500 0.500 0.000
Li 0.500 0.000 0.500
Tc 0.000 0.500 0.500



[4]
First-principles (PBE) data for a geometry-optimized LiTcCl5 structure, as listed in the Alexandria database.

a b c (Å): 6.940 6.940 9.228
angles (deg): 69.28 69.28 94.23
Atoms (fractional coordinates):
Li 0.370 0.630 0.750
Li 0.630 0.370 0.250
Tc 0.000 0.000 0.000
Tc 0.000 0.000 0.500
Cl 0.326 0.249 0.834
Cl 0.271 0.829 0.528
Cl 0.249 0.326 0.334
Cl 0.920 0.080 0.750
Cl 0.171 0.729 0.972
Cl 0.829 0.271 0.028
Cl 0.080 0.920 0.250
Cl 0.751 0.674 0.666
Cl 0.729 0.171 0.472
Cl 0.674 0.751 0.166



[5]
First-principles (PBE) data for a geometry-optimized LiTc3Cl structure, as listed in the Alexandria database.

Output
ΔE to the lowest computed polymorph   0.7907 eV/atom

a b c (Å): 4.238 4.238 4.238
angles (deg): 90.00 90.00 90.00
Atoms (fractional coordinates):
Li 0.000 0.000 0.000
Tc 0.000 0.500 0.000
Tc 0.000 0.000 0.500
Tc 0.500 0.000 0.000
Cl 0.500 0.500 0.500



[6]
First-principles (PBE) data for a geometry-optimized Li2TcCl6 structure, as listed in the Alexandria database.

a b c (Å): 6.006 6.006 11.066
angles (deg): 90.00 90.00 90.00
Atoms (fractional coordinates):
Li 0.000 0.000 0.332
Li 0.500 0.500 0.832
Li 0.500 0.500 0.168
Li 0.000 0.000 0.668
Tc 0.000 0.000 0.000
Tc 0.500 0.500 0.500
Cl 0.309 0.309 0.343
Cl 0.691 0.691 0.343
Cl 0.191 0.809 0.843
Cl 0.809 0.191 0.843
Cl 0.191 0.809 0.157
Cl 0.809 0.191 0.157
Cl 0.309 0.309 0.657
Cl 0.691 0.691 0.657
Cl 0.282 0.282 0.000
Cl 0.718 0.718 0.000
Cl 0.218 0.782 0.500
Cl 0.782 0.218 0.500



| no. | uncorrected formation energy (eV/atom) | V (Å³ per cell) |
| --- | --- | --- |
| 1 | 1.07 | 83 |
| 2 | 0.11 | 45 |
| 3 | -0.19 | 87 |
| 4 | -0.94 | 379 |
| 5 | 1.86 | 76 |
| 6 | -1.16 | 399 |